Computed, not measured: FeAs2Au after structural relaxation at the PBE-GGA level of DFT.

Lattice parameters (Å, degrees): 4.1766 4.1766 5.6967 100.57 100.57 44.80
Atoms (fractional coordinates):
Fe1 0.0000 0.0000 0.0000
As1 0.2747 0.2747 0.7996
As2 0.7253 0.7253 0.2004
Au1 0.5000 0.5000 0.5000

Summary:
DFT formation energy, eV/atom: 0.18
Space group: C2/m, No. 12
Mass density, g/cm3: 9.74
Energy, eV per cell: -20.3
V, Å³ per cell: 69

Computed, not measured: FeAs2Au after structural relaxation at the PBE-GGA level of DFT.

Lattice parameters (Å, degrees): 2.9841 2.9841 7.8983 90.00 90.00 90.00
Atoms (fractional coordinates):
Fe1 0.0000 0.0000 0.0000
As1 0.0000 0.0000 0.2858
As2 0.5000 0.5000 0.8562
Au1 0.5000 0.5000 0.5312

Summary:
DFT formation energy, eV/atom: 0.14
Space group: P4mm, No. 99
Mass density, g/cm3: 9.51
Energy, eV per cell: -20.5
V, Å³ per cell: 70

Computed, not measured: FeAs2Au after structural relaxation at the PBE-GGA level of DFT.

Lattice parameters (Å, degrees): 6.6553 6.6553 6.6553 155.22 146.88 41.80
Atoms (fractional coordinates):
Fe1 0.0000 0.0000 0.0000
As1 0.1554 0.6554 0.5000
As2 0.4526 0.4526 0.0000
Au1 0.7897 0.2897 0.5000

Summary:
DFT formation energy, eV/atom: 0.12
Space group: Imm2, No. 44
Mass density, g/cm3: 9.93
Energy, eV per cell: -20.6
V, Å³ per cell: 67

Computed, not measured: FeAs2Au after structural relaxation at the PBE-GGA level of DFT.

Lattice parameters (Å, degrees): 7.8193 7.8193 7.8193 24.04 24.04 24.04
Atoms (fractional coordinates):
Fe1 0.0000 0.0000 0.0000
As1 0.2694 0.2694 0.2694
As2 0.5043 0.5043 0.5043
Au1 0.7538 0.7538 0.7538

Summary:
DFT formation energy, eV/atom: 0.24
Space group: R3m, No. 160
Mass density, g/cm3: 9.59
Energy, eV per cell: -20.1
V, Å³ per cell: 70

Computed, not measured: Fe3AsAu after structural relaxation at the PBE-GGA level of DFT.

Lattice parameters (Å, degrees): 4.7413 4.7413 4.7413 90.00 90.00 90.00
Atoms (fractional coordinates):
Fe1 0.0000 0.0000 0.5000
Fe2 0.0000 0.5000 0.0000
Fe3 0.5000 0.0000 0.0000
As1 0.5000 0.5000 0.5000
Au1 0.0000 0.0000 0.0000

Summary:
DFT formation energy, eV/atom: 1.31
Space group: Pm-3m, No. 221
Mass density, g/cm3: 6.85
Energy, eV per cell: -26.8
V, Å³ per cell: 107

Computed, not measured: Fe2AsAu2 after structural relaxation at the PBE-GGA level of DFT.

Lattice parameters (Å, degrees): 6.1675 6.1675 4.1654 90.00 90.00 90.00
Atoms (fractional coordinates):
Fe1 0.1359 0.3641 0.0000
Fe2 0.3641 0.8641 0.0000
Fe3 0.6359 0.1359 0.0000
Fe4 0.8641 0.6359 0.0000
As1 0.0000 0.0000 0.0000
As2 0.5000 0.5000 0.0000
Au1 0.1622 0.6622 0.5000
Au2 0.3378 0.1622 0.5000
Au3 0.6622 0.8378 0.5000
Au4 0.8378 0.3378 0.5000

Summary:
DFT formation energy, eV/atom: 0.16
Space group: P4/mbm, No. 127
Mass density, g/cm3: 12.17
Energy, eV per cell: -54.7
V, Å³ per cell: 158

Computed, not measured: FeAs2Au after structural relaxation at the PBE-GGA level of DFT.

Lattice parameters (Å, degrees): 5.2476 5.2476 2.7891 90.20 90.20 109.27
Atoms (fractional coordinates):
Fe1 0.0000 0.0000 0.0000
As1 0.0000 0.5000 0.0000
As2 0.5000 0.0000 0.0000
Au1 0.5000 0.5000 0.0000

Summary:
DFT formation energy, eV/atom: 0.31
Space group: C2/m, No. 12
Mass density, g/cm3: 9.22
Energy, eV per cell: -19.8
V, Å³ per cell: 73

Computed, not measured: FeAs2Au after structural relaxation at the PBE-GGA level of DFT.

Lattice parameters (Å, degrees): 4.6232 4.6232 4.6232 60.00 60.00 60.00
Atoms (fractional coordinates):
Fe1 0.0000 0.0000 0.0000
As1 0.5000 0.5000 0.5000
As2 0.7500 0.7500 0.7500
Au1 0.2500 0.2500 0.2500

Summary:
DFT formation energy, eV/atom: 0.47
Space group: F-43m, No. 216
Mass density, g/cm3: 9.57
Energy, eV per cell: -19.2
V, Å³ per cell: 70

Computed, not measured: FeAs2Au after structural relaxation at the PBE-GGA level of DFT.

Lattice parameters (Å, degrees): 5.3023 5.3023 5.3023 137.05 137.05 62.36
Atoms (fractional coordinates):
Fe1 0.0000 0.0000 0.0000
As1 0.2500 0.7500 0.5000
As2 0.5000 0.5000 0.0000
Au1 0.7500 0.2500 0.5000

Summary:
DFT formation energy, eV/atom: 0.35
Space group: I-4m2, No. 119
Mass density, g/cm3: 9.78
Energy, eV per cell: -19.6
V, Å³ per cell: 68

Computed, not measured: FeAs2Au after structural relaxation at the PBE-GGA level of DFT.

Lattice parameters (Å, degrees): 4.7869 4.7869 4.7869 127.32 127.32 77.73
Atoms (fractional coordinates):
Fe1 0.0000 0.0000 0.0000
As1 0.2500 0.7500 0.5000
As2 0.7500 0.2500 0.5000
Au1 0.5000 0.5000 0.0000

Summary:
DFT formation energy, eV/atom: 0.35
Space group: I4/mmm, No. 139
Mass density, g/cm3: 9.94
Energy, eV per cell: -19.6
V, Å³ per cell: 67

Computed, not measured: Fe3AsAu after structural relaxation at the PBE-GGA level of DFT.

Lattice parameters (Å, degrees): 4.3881 4.3881 4.3881 90.00 90.00 90.00
Atoms (fractional coordinates):
Fe1 0.0000 0.0000 0.5000
Fe2 0.0000 0.5000 0.0000
Fe3 0.5000 0.0000 0.0000
As1 0.0000 0.0000 0.0000
Au1 0.5000 0.5000 0.5000

Summary:
DFT formation energy, eV/atom: 0.69
Space group: Pm-3m, No. 221
Mass density, g/cm3: 8.64
Energy, eV per cell: -29.9
V, Å³ per cell: 84

Computed, not measured: FeAsAu4 after structural relaxation at the PBE-GGA level of DFT.

Lattice parameters (Å, degrees): 5.4814 5.4814 5.4814 60.00 60.00 60.00
Atoms (fractional coordinates):
Fe1 0.0000 0.0000 0.0000
As1 0.7500 0.7500 0.7500
Au1 0.3748 0.3748 0.3748
Au2 0.3748 0.3748 0.8757
Au3 0.3748 0.8757 0.3748
Au4 0.8757 0.3748 0.3748

Summary:
DFT formation energy, eV/atom: 0.47
Space group: F-43m, No. 216
Mass density, g/cm3: 13.10
Energy, eV per cell: -23.4
V, Å³ per cell: 116